Record 1
# K6RbBi3

Crystalline K6RbBi3 at its relaxed geometry (GGA-PBE, Alexandria).

**Energy of formation**: -314 meV/atom
**SG**: P2_1/m, No. 11
**V**: 47.63 Å³/atom

Unit cell a=5.9695 b=10.9930 c=15.0511 alpha=105.32 beta=90.00 gamma=90.00
Sites, in units of the cell vectors:
Bi 0.2500 0.2261 0.4460
K 0.2500 0.5846 0.4576
K 0.7500 0.3924 0.0752
K 0.2500 0.6076 0.9248
Rb 0.7500 0.0687 0.7838
K 0.7500 0.0495 0.4365
K 0.2500 0.2726 0.2208
K 0.2500 0.3528 0.6898
K 0.7500 0.6472 0.3102
Rb 0.2500 0.9313 0.2162
K 0.7500 0.4154 0.5424
K 0.2500 0.9505 0.5635
Bi 0.7500 0.0440 0.0446
K 0.7500 0.7180 0.0598
Bi 0.7500 0.4234 0.8335
Bi 0.7500 0.7739 0.5540
K 0.2500 0.2820 0.9402
Bi 0.2500 0.5766 0.1665
Bi 0.2500 0.9560 0.9554
K 0.7500 0.7274 0.7792

---

Record 2
# KZrRu

Crystalline KZrRu at its relaxed geometry (GGA-PBE, Alexandria).

**E above lowest polymorph**: 301.4 meV/atom
**Energy of formation**: 290 meV/atom
**SG**: I4mm, No. 107
**V**: 27.54 Å³/atom

Unit cell a=7.7343 b=7.7340 c=3.3496 alpha=77.50 beta=77.49 gamma=25.01
Sites, in units of the cell vectors:
Zr 0.7214 0.7214 0.2786
K 0.9762 0.9762 0.0238
Ru 0.3023 0.3023 0.6977

---

Record 3
# Ac3MgSn4

Crystalline Ac3MgSn4 at its relaxed geometry (GGA-PBE, Alexandria).

**Energy of formation**: -502 meV/atom
**SG**: Immm, No. 71
**V**: 36.34 Å³/atom

Unit cell a=4.9486 b=6.7897 c=9.6179 alpha=110.67 beta=104.91 gamma=90.00
Sites, in units of the cell vectors:
Mg 0.5000 0.0000 0.0000
Sn 0.6239 0.8342 0.2478
Ac 0.8074 0.8074 0.6148
Ac 0.1926 0.1926 0.3852
Sn 0.3761 0.1658 0.7522
Ac 0.0000 0.5000 0.0000
Sn 0.6239 0.4136 0.2478
Sn 0.3761 0.5864 0.7522

---

For each record above, in turn, the calculated DOS at the Fermi energy values are 21.34 1.36 3.89 states/eV per cell.